# 1
# Cs2CeAlO4

A relaxed structure of Cs2CeAlO4 (PBE-GGA, the Alexandria database).

## Properties
* DFT total energy: -392.507 eV for the cell shown
* energy relative to the elements, uncorrected: -2.231 eV per atom
* N(E_F): 39.7 states/eV/cell

Cell and atoms, written as CIF:
```
data_Cs2CeAlO4
_space_group_name_H-M_alt 'F d d d'
_space_group_IT_number 70
_cell_length_a 5.793
_cell_length_b 12.996
_cell_length_c 24.308
_cell_angle_alpha 90.00
_cell_angle_beta 90.00
_cell_angle_gamma 90.00
loop_
_space_group_symop_operation_xyz
'x,y,z'
'-x,-y,-z'
'-x+1/4,-y+1/4,z'
'x+1/4,y+1/4,-z'
'x,-y+1/4,-z+1/4'
'-x,y+1/4,z+1/4'
'-x+1/4,y,-z+1/4'
'x+1/4,-y,z+1/4'
'x,y+1/2,z+1/2'
'-x,-y+1/2,-z+1/2'
'-x+1/4,-y+3/4,z+1/2'
'x+1/4,y+3/4,-z+1/2'
'x,-y+3/4,-z+3/4'
'-x,y+3/4,z+3/4'
'-x+1/4,y+1/2,-z+3/4'
'x+1/4,-y+1/2,z+3/4'
'x+1/2,y,z+1/2'
'-x+1/2,-y,-z+1/2'
'-x+3/4,-y+1/4,z+1/2'
'x+3/4,y+1/4,-z+1/2'
'x+1/2,-y+1/4,-z+3/4'
'-x+1/2,y+1/4,z+3/4'
'-x+3/4,y,-z+3/4'
'x+3/4,-y,z+3/4'
'x+1/2,y+1/2,z'
'-x+1/2,-y+1/2,-z'
'-x+3/4,-y+3/4,z'
'x+3/4,y+3/4,-z'
'x+1/2,-y+3/4,-z+1/4'
'-x+1/2,y+3/4,z+1/4'
'-x+3/4,y+1/2,-z+1/4'
'x+3/4,-y+1/2,z+1/4'
loop_
_atom_site_label
_atom_site_fract_x
_atom_site_fract_y
_atom_site_fract_z
Cs1 0.125 0.125 0.307
Ce1 0.125 0.125 0.125
Al1 0.125 0.125 0.625
O1 0.079 0.294 0.839
```

# 2
# TbDy3Ho2Er6

A relaxed structure of TbDy3Ho2Er6 (PBE-GGA, the Alexandria database).

## Properties
* DFT total energy: -109.465 eV for the cell shown
* formation energy from the elements: 20 meV/atom
* N(E_F): 32.0 states/eV/cell

Cell and atoms, written as CIF:
```
data_TbDy3Ho2Er6
_space_group_name_H-M_alt 'C 1 2/m 1'
_space_group_IT_number 12
_space_group_name_Hall '-C 2y'
_cell_length_a 6.090
_cell_length_b 10.535
_cell_length_c 11.638
_cell_angle_alpha 90.00
_cell_angle_beta 99.99
_cell_angle_gamma 90.00
loop_
_atom_site_label
_atom_site_fract_x
_atom_site_fract_y
_atom_site_fract_z
Tb1 0.000 0.000 0.000
Dy1 0.000 0.167 0.500
Dy2 0.000 0.500 0.500
Ho1 0.000 0.333 0.000
Er1 0.250 0.000 0.750
Er2 0.250 0.167 0.250
```

# 3
# Ac2Pd5Pb3

A relaxed structure of Ac2Pd5Pb3 (PBE-GGA, the Alexandria database).

## Properties
* DFT total energy: -203.804 eV for the cell shown
* formation energy from the elements: -565 meV/atom
* N(E_F): 19.8 states/eV/cell

Cell and atoms, written as CIF:
```
data_Ac2Pd5Pb3
_space_group_name_H-M_alt 'C m c 21'
_space_group_IT_number 36
_space_group_name_Hall 'C 2c -2'
_cell_length_a 4.389
_cell_length_b 27.618
_cell_length_c 7.882
_cell_angle_alpha 90.00
_cell_angle_beta 90.00
_cell_angle_gamma 90.00
loop_
_atom_site_label
_atom_site_fract_x
_atom_site_fract_y
_atom_site_fract_z
Ac1 0.000 0.024 0.000
Ac2 0.000 0.315 0.158
Pd1 0.000 0.113 0.787
Pd2 0.000 0.207 0.937
Pd3 0.000 0.221 0.395
Pd4 0.000 0.385 0.517
Pd5 0.000 0.457 0.797
Pb1 0.000 0.119 0.297
Pb2 0.000 0.292 0.668
Pb3 0.000 0.440 0.165
```

# 4
# PaTaSi2Tc

A relaxed structure of PaTaSi2Tc (PBE-GGA, the Alexandria database).

## Properties
* DFT total energy: -90.469 eV for the cell shown
* energy relative to the elements, uncorrected: -0.535 eV per atom
* N(E_F): 9.4 states/eV/cell

Cell and atoms, written as CIF:
```
data_PaTaSi2Tc
_space_group_name_H-M_alt 'I -4 m 2'
_space_group_IT_number 119
_space_group_name_Hall 'I -4 -2'
_cell_length_a 3.976
_cell_length_b 3.976
_cell_length_c 11.217
_cell_angle_alpha 90.00
_cell_angle_beta 90.00
_cell_angle_gamma 90.00
loop_
_atom_site_label
_atom_site_fract_x
_atom_site_fract_y
_atom_site_fract_z
Pa1 0.000 0.000 0.000
Ta1 0.000 0.500 0.250
Si1 0.000 0.000 0.395
Tc1 0.000 0.500 0.750
```

Please write out number 4 again, unchanged.
# PaTaSi2Tc

A relaxed structure of PaTaSi2Tc (PBE-GGA, the Alexandria database).

## Properties
* DFT total energy: -90.469 eV for the cell shown
* energy relative to the elements, uncorrected: -0.535 eV per atom
* N(E_F): 9.4 states/eV/cell

Cell and atoms, written as CIF:
```
data_PaTaSi2Tc
_space_group_name_H-M_alt 'I -4 m 2'
_space_group_IT_number 119
_space_group_name_Hall 'I -4 -2'
_cell_length_a 3.976
_cell_length_b 3.976
_cell_length_c 11.217
_cell_angle_alpha 90.00
_cell_angle_beta 90.00
_cell_angle_gamma 90.00
loop_
_atom_site_label
_atom_site_fract_x
_atom_site_fract_y
_atom_site_fract_z
Pa1 0.000 0.000 0.000
Ta1 0.000 0.500 0.250
Si1 0.000 0.000 0.395
Tc1 0.000 0.500 0.750
```

Question: Which of these has the highest DFT total energy?
Answer: PaTaSi2Tc

Question: The highest N(E_F) belongs to which entry?
Answer: Cs2CeAlO4